Density functional theory data (PBE) for a geometry-optimized InHgP structure.

Lattice parameters (Å, degrees): 6.522 6.522 5.615 90.00 90.00 36.54
Fractional coordinates of all 6 atoms:
P 0.206 0.206 0.404
In 0.190 0.190 0.904
In 0.563 0.563 0.404
P 0.547 0.547 0.904
Hg 0.893 0.893 0.903
Hg 0.860 0.860 0.403

Computed properties:
E in eV per atom: -2.7086
D(E_F) in states/eV per atom: 0.4561
Calculated formation energy in eV/atom: 0.108

=====

Density functional theory data (PBE) for a geometry-optimized InHg2P structure.

Lattice parameters (Å, degrees): 5.435 5.435 5.435 136.49 115.46 81.08
Fractional coordinates of all 4 atoms:
P 0.745 0.245 0.500
Hg 0.978 0.978 0.000
Hg 0.250 0.750 0.500
In 0.526 0.526 0.000

Computed properties:
E in eV per atom: -1.9359
D(E_F) in states/eV per atom: 0.4410
Calculated formation energy in eV/atom: 0.252

=====

Density functional theory data (PBE) for a geometry-optimized InHg2P structure.

Lattice parameters (Å, degrees): 4.096 4.096 7.479 72.99 72.99 59.77
Fractional coordinates of all 4 atoms:
P 0.243 0.243 0.284
Hg 0.750 0.750 0.746
Hg 0.989 0.989 0.027
In 0.518 0.518 0.443

Computed properties:
E in eV per atom: -2.1059
D(E_F) in states/eV per atom: 0.3555
Calculated formation energy in eV/atom: 0.082

=====

Density functional theory data (PBE) for a geometry-optimized InHgP structure.

Lattice parameters (Å, degrees): 6.582 6.582 6.582 147.03 147.03 47.31
Fractional coordinates of all 3 atoms:
In 0.225 0.225 0.000
Hg 0.993 0.993 0.000
P 0.782 0.782 0.000

Computed properties:
E in eV per atom: -2.7112
D(E_F) in states/eV per atom: 0.4007
Calculated formation energy in eV/atom: 0.106

=====

Sequential excess energy over the best structure of this formula in the dataset output: 1.2, 16.4, 0.0, 0.9 kJ per mole of atoms